Material: Ta2CuCl
Method: DFT, GGA-PBEsol
State: relaxed

Calculated values
- VASP energy (eV/atom) = -7.82

abc: 3.554 4.516 8.437
angles: 90.00 90.00 90.00
Space group Cmm2 (No. 35)
One atom of each set of equivalent atoms:
Ta1 0.000 0.000 0.000 x2
Ta2 0.000 0.500 0.259 x2
Cu1 0.000 0.000 0.482 x2
Cl1 0.000 0.500 0.777 x2